Entry 1:
# Y2ThScBi5

An optimized crystal structure of Y2ThScBi5 (PBE-GGA, Alexandria via LeMat-Bulk).

Calculated values
- Energy relative to the elements: 216 meV per atom
- Calculated density: 6.5 g/cm3
- Total moment: 0.00 Bohr magnetons per cell
- Space-group type: P4/mmm

abc: 5.7787 5.7787 11.5103
angles: 90.00 90.00 90.00
Last column: nearest neighbours and their distance in Å.
Positions (direct):
Y1 0.0000 0.0000 0.2175  1 Bi 3.25
Y2 0.0000 0.0000 0.7825  1 Bi 3.25
Th1 0.5000 0.5000 0.0000  6 Bi 2.89-3.05
Sc1 0.5000 0.5000 0.5000  2 Bi 2.71
Bi1 0.0000 0.0000 0.5000  2 Y 3.25
Bi2 0.0000 0.5000 0.0000  2 Th 2.89
Bi3 0.5000 0.0000 0.0000  2 Th 2.89
Bi4 0.5000 0.5000 0.2648  1 Sc 2.71
Bi5 0.5000 0.5000 0.7352  1 Sc 2.71

---

Entry 2:
# Ca2Ga3SbPd4

An optimized crystal structure of Ca2Ga3SbPd4 (PBE-GGA, Alexandria via LeMat-Bulk).

Calculated values
- Calculated density: 6.8 g/cm3
- Total moment: 0.00 Bohr magnetons per cell
- Uncorrected formation energy: -0.712 eV/atom
- Space-group type: P-4m2

abc: 4.4440 4.4440 10.2907
angles: 90.00 90.00 90.00
Last column: nearest neighbours and their distance in Å.
Positions (direct):
Ca1 0.0000 0.5000 0.2403  8 Pd 3.32-3.37, 7 Ga 3.39-3.68, 2 Sb 3.48
Ca2 0.5000 0.0000 0.7597  8 Pd 3.32-3.37, 7 Ga 3.39-3.68, 2 Sb 3.48
Ga1 0.0000 0.5000 0.8826  5 Pd 2.47-2.53
Ga2 0.5000 0.0000 0.1174  5 Pd 2.47-2.53
Ga3 0.5000 0.5000 0.5000  4 Pd 2.66
Sb1 0.0000 0.0000 0.5000  4 Pd 2.66
Pd1 0.0000 0.0000 0.0000  4 Ga 2.53
Pd2 0.0000 0.5000 0.6422  3 Ga 2.47-2.66, 2 Sb 2.66
Pd3 0.5000 0.0000 0.3578  3 Ga 2.47-2.66, 2 Sb 2.66
Pd4 0.5000 0.5000 0.0000  4 Ga 2.53

---

Entry 3:
# Mn2CdH2

An optimized crystal structure of Mn2CdH2 (PBE-GGA, Alexandria via LeMat-Bulk).

Calculated values
- Calculated density: 6.4 g/cm3
- Total moment: 5.16 Bohr magnetons per cell
- Space-group type: P4/mbm
- Excess energy over the best structure of this formula in the dataset: 614 meV/atom

abc: 6.6426 6.6426 2.6403
angles: 90.00 90.00 90.00
Last column: nearest neighbours and their distance in Å.
Positions (direct):
Mn1 0.1061 0.3939 0.0000  4 H 1.91, 1 Mn 1.99
Mn2 0.3939 0.8939 0.0000  4 H 1.91, 1 Mn 1.99
Mn3 0.6061 0.1061 0.0000  4 H 1.91, 1 Mn 1.99
Mn4 0.8939 0.6061 0.0000  4 H 1.91, 1 Mn 1.99
Cd1 0.0000 0.0000 0.0000  2 Cd 2.64, 4 Mn 2.71
Cd2 0.5000 0.5000 0.0000  2 Cd 2.64, 4 Mn 2.71
H1 0.1006 0.6006 0.5000  1 H 1.89, 4 Mn 1.91
H2 0.3994 0.1006 0.5000  1 H 1.89, 4 Mn 1.91
H3 0.6006 0.8994 0.5000  1 H 1.89, 4 Mn 1.91
H4 0.8994 0.3994 0.5000  1 H 1.89, 4 Mn 1.91

---

Entry 4:
# Li2PtCl6

An optimized crystal structure of Li2PtCl6 (PBE-GGA, Alexandria via LeMat-Bulk).

Calculated values
- Calculated density: 3.4 g/cm3
- Total moment: 0.00 Bohr magnetons per cell
- Uncorrected formation energy: -1.060 eV/atom
- Space-group type: P2_1/c
- Excess energy over the best structure of this formula in the dataset: 0 meV/atom

abc: 6.3253 6.1180 12.2927
angles: 90.00 120.96 90.00
Last column: nearest neighbours and their distance in Å.
Positions (direct):
Li1 0.1747 0.0017 0.1746  6 Cl 2.50-2.71
Li2 0.1747 0.4983 0.6746  6 Cl 2.50-2.71
Li3 0.8253 0.5017 0.3254  6 Cl 2.50-2.71
Li4 0.8253 0.9983 0.8254  6 Cl 2.50-2.71
Pt1 0.5000 0.0000 0.0000  6 Cl 2.35
Pt2 0.5000 0.5000 0.5000  6 Cl 2.35
Cl1 0.1787 0.7153 0.3434  1 Pt 2.35, 1 Li 2.50
Cl2 0.1787 0.7847 0.8434  1 Pt 2.35, 1 Li 2.50
Cl3 0.1956 0.2209 0.9994  1 Pt 2.35, 2 Li 2.60
Cl4 0.1956 0.2791 0.4994  1 Pt 2.35, 2 Li 2.60
Cl5 0.4940 0.7117 0.6584  1 Pt 2.35, 1 Li 2.50
Cl6 0.4940 0.7883 0.1584  1 Pt 2.35, 1 Li 2.50
Cl7 0.5060 0.2117 0.8416  1 Pt 2.35, 1 Li 2.50
Cl8 0.5060 0.2883 0.3416  1 Pt 2.35, 1 Li 2.50
Cl9 0.8044 0.7209 0.5006  1 Pt 2.35, 2 Li 2.60
Cl10 0.8044 0.7791 0.0006  1 Pt 2.35, 2 Li 2.60
Cl11 0.8213 0.2152 0.1566  1 Pt 2.35, 1 Li 2.50
Cl12 0.8213 0.2848 0.6566  1 Pt 2.35, 1 Li 2.50

---

Entry 5:
# Sr10P6ClO24F

An optimized crystal structure of Sr10P6ClO24F (PBE-GGA, Alexandria via LeMat-Bulk).

Calculated values
- Calculated density: 4.0 g/cm3
- Total moment: 0.00 Bohr magnetons per cell
- Uncorrected formation energy: -2.958 eV/atom
- Space-group type: P2_1
- Excess energy over the best structure of this formula in the dataset: 0 meV/atom

abc: 9.9327 7.3035 17.2033
angles: 90.00 90.01 90.00
Last column: nearest neighbours and their distance in Å.
Positions (direct):
Sr1 0.0009 0.0004 0.1673  8 O 2.58-2.88
Sr2 0.0007 0.4997 0.1677  8 O 2.59-2.88
Sr3 0.1148 0.7495 0.6243  1 F 2.44, 5 O 2.50-2.67
Sr4 0.1306 0.7496 0.3806  1 F 2.44, 5 O 2.50-2.67
Sr5 0.2474 0.7501 0.9963  5 O 2.44-2.70
Sr6 0.2486 0.2496 0.5047  1 F 2.45, 5 O 2.53-2.66
Sr7 0.3675 0.2502 0.1273  5 O 2.47-2.69
Sr8 0.3768 0.2503 0.8693  5 O 2.48-2.68
Sr9 0.4990 0.0000 0.6658  7 O 2.58-2.86
Sr10 0.4993 0.4997 0.6656  7 O 2.58-2.87
Sr11 0.5007 0.9997 0.3344  7 O 2.58-2.87
Sr12 0.5010 0.5000 0.3342  7 O 2.58-2.86
Sr13 0.6232 0.7503 0.1307  5 O 2.48-2.68
Sr14 0.6325 0.7502 0.8727  5 O 2.47-2.69
Sr15 0.7514 0.7496 0.4953  1 F 2.45, 5 O 2.53-2.66
Sr16 0.7526 0.2501 0.0037  5 O 2.44-2.70
Sr17 0.8694 0.2496 0.6194  1 F 2.44, 5 O 2.50-2.67
Sr18 0.8852 0.2495 0.3757  1 F 2.44, 5 O 2.50-2.67
Sr19 0.9993 0.9997 0.8323  8 O 2.59-2.88
Sr20 0.9991 0.5004 0.8327  8 O 2.58-2.88
P1 0.1116 0.2501 0.9825  4 O 1.56
P2 0.1677 0.2497 0.6981  4 O 1.55-1.57
P3 0.2149 0.2496 0.3169  4 O 1.55-1.56
P4 0.2802 0.7501 0.1871  4 O 1.56
P5 0.3301 0.7501 0.7957  4 O 1.56
P6 0.3838 0.7496 0.5150  4 O 1.56
P7 0.6162 0.2496 0.4850  4 O 1.56
P8 0.6699 0.2501 0.2043  4 O 1.56
P9 0.7198 0.2501 0.8129  4 O 1.56
P10 0.7851 0.7496 0.6831  4 O 1.55-1.56
P11 0.8323 0.7497 0.3019  4 O 1.55-1.57
P12 0.8884 0.7501 0.0175  4 O 1.56
Cl1 0.4999 0.0001 0.9999  6 Sr 3.10-3.15, 6 O 3.23-3.26
Cl2 0.5001 0.5001 0.0001  6 Sr 3.10-3.15, 6 O 3.23-3.26
O1 0.0275 0.7500 0.0600  1 P 1.56
O2 0.0893 0.0770 0.6710  1 P 1.55
O3 0.0892 0.4214 0.6699  1 P 1.55
O4 0.0932 0.2494 0.2597  1 P 1.56
O5 0.0934 0.2501 0.0724  1 P 1.56
O6 0.1473 0.7500 0.2355  1 P 1.56
O7 0.1696 0.2509 0.7891  1 P 1.57
O8 0.1869 0.7501 0.8324  1 P 1.56
O9 0.1895 0.0775 0.9545  1 P 1.56
O10 0.1894 0.4228 0.9545  1 P 1.56
O11 0.2123 0.4214 0.3702  1 P 1.55
O12 0.2133 0.0774 0.3700  1 P 1.55
O13 0.2776 0.5773 0.1341  1 P 1.56
O14 0.2776 0.9229 0.1341  1 P 1.56
O15 0.3022 0.9215 0.5403  1 P 1.56
O16 0.3029 0.5773 0.5406  1 P 1.56
O17 0.3143 0.2494 0.6658  1 P 1.56
O18 0.3237 0.7494 0.7051  1 P 1.56
O19 0.3505 0.2503 0.2707  1 P 1.56
O20 0.4067 0.7494 0.4254  1 P 1.56
O21 0.4068 0.7501 0.2404  1 P 1.56
O22 0.4112 0.9230 0.8205  1 P 1.56
O23 0.4115 0.5779 0.8210  1 P 1.56
O24 0.4788 0.2501 0.4409  1 P 1.56
O25 0.5212 0.7501 0.5591  1 P 1.56
O26 0.5885 0.0779 0.1790  1 P 1.56
O27 0.5888 0.4230 0.1795  1 P 1.56
O28 0.5933 0.2494 0.5746  1 P 1.56
O29 0.5932 0.2501 0.7596  1 P 1.56
O30 0.6495 0.7503 0.7293  1 P 1.56
O31 0.6763 0.2494 0.2949  1 P 1.56
O32 0.6857 0.7494 0.3342  1 P 1.56
O33 0.6971 0.0773 0.4594  1 P 1.56
O34 0.6978 0.4215 0.4597  1 P 1.56
O35 0.7224 0.0773 0.8659  1 P 1.56
O36 0.7224 0.4229 0.8659  1 P 1.56
O37 0.7867 0.5774 0.6300  1 P 1.55
O38 0.7877 0.9214 0.6298  1 P 1.55
O39 0.8105 0.5775 0.0455  1 P 1.56
O40 0.8106 0.9228 0.0455  1 P 1.56
O41 0.8131 0.2501 0.1676  1 P 1.56
O42 0.8304 0.7509 0.2109  1 P 1.57
O43 0.8527 0.2500 0.7645  1 P 1.56
O44 0.9068 0.7494 0.7403  1 P 1.56
O45 0.9066 0.7501 0.9276  1 P 1.56
O46 0.9107 0.5770 0.3290  1 P 1.55
O47 0.9108 0.9214 0.3301  1 P 1.55
O48 0.9725 0.2500 0.9400  1 P 1.56
F1 0.0024 0.2470 0.5001  3 Sr 2.44-2.45
F2 0.9976 0.7470 0.4999  3 Sr 2.44-2.45

---

Entry 6:
# Nd4YSi4

An optimized crystal structure of Nd4YSi4 (PBE-GGA, Alexandria via LeMat-Bulk).

Calculated values
- Calculated density: 5.3 g/cm3
- Total moment: 0.00 Bohr magnetons per cell
- Uncorrected formation energy: -0.481 eV/atom
- Space-group type: P4_2/n

abc: 8.9893 8.9893 6.0738
angles: 90.00 90.00 90.00
Last column: nearest neighbours and their distance in Å.
Positions (direct):
Nd1 0.0582 0.6686 0.1133  5 Si 2.95-3.25
Nd2 0.1686 0.9418 0.6133  5 Si 2.95-3.25
Nd3 0.3314 0.5582 0.6133  5 Si 2.95-3.25
Nd4 0.4418 0.8314 0.1133  5 Si 2.95-3.25
Nd5 0.5582 0.1686 0.8867  5 Si 2.95-3.25
Nd6 0.6686 0.4418 0.3867  5 Si 2.95-3.25
Nd7 0.8314 0.0582 0.3867  5 Si 2.95-3.25
Nd8 0.9418 0.3314 0.8867  5 Si 2.95-3.25
Y1 0.2500 0.2500 0.2500  4 Si 2.77
Y2 0.7500 0.7500 0.7500  4 Si 2.77
Si1 0.0092 0.6177 0.6012  1 Si 2.45
Si2 0.1177 0.9908 0.1012  1 Si 2.45
Si3 0.3823 0.5092 0.1012  1 Si 2.45
Si4 0.4908 0.8823 0.6012  1 Si 2.45
Si5 0.5092 0.1177 0.3988  1 Si 2.45
Si6 0.6177 0.4908 0.8988  1 Si 2.45
Si7 0.8823 0.0092 0.8988  1 Si 2.45
Si8 0.9908 0.3823 0.3988  1 Si 2.45

---

total moment of number 1 (Y2ThScBi5)?
0.00 Bohr magnetons per cell

---

What did the sixth record say?
# Nd4YSi4

An optimized crystal structure of Nd4YSi4 (PBE-GGA, Alexandria via LeMat-Bulk).

Calculated values
- Calculated density: 5.3 g/cm3
- Total moment: 0.00 Bohr magnetons per cell
- Uncorrected formation energy: -0.481 eV/atom
- Space-group type: P4_2/n

abc: 8.9893 8.9893 6.0738
angles: 90.00 90.00 90.00
Last column: nearest neighbours and their distance in Å.
Positions (direct):
Nd1 0.0582 0.6686 0.1133  5 Si 2.95-3.25
Nd2 0.1686 0.9418 0.6133  5 Si 2.95-3.25
Nd3 0.3314 0.5582 0.6133  5 Si 2.95-3.25
Nd4 0.4418 0.8314 0.1133  5 Si 2.95-3.25
Nd5 0.5582 0.1686 0.8867  5 Si 2.95-3.25
Nd6 0.6686 0.4418 0.3867  5 Si 2.95-3.25
Nd7 0.8314 0.0582 0.3867  5 Si 2.95-3.25
Nd8 0.9418 0.3314 0.8867  5 Si 2.95-3.25
Y1 0.2500 0.2500 0.2500  4 Si 2.77
Y2 0.7500 0.7500 0.7500  4 Si 2.77
Si1 0.0092 0.6177 0.6012  1 Si 2.45
Si2 0.1177 0.9908 0.1012  1 Si 2.45
Si3 0.3823 0.5092 0.1012  1 Si 2.45
Si4 0.4908 0.8823 0.6012  1 Si 2.45
Si5 0.5092 0.1177 0.3988  1 Si 2.45
Si6 0.6177 0.4908 0.8988  1 Si 2.45
Si7 0.8823 0.0092 0.8988  1 Si 2.45
Si8 0.9908 0.3823 0.3988  1 Si 2.45

---

The highest calculated density belongs to which entry?
Ca2Ga3SbPd4

---

Which of these has the highest calculated density?
Ca2Ga3SbPd4